1.
TlReIO2 (PBE, optimized geometry); energy above the lowest structure with this stoichiometry = 1560 meV/atom; V = 23.03 Å³/atom; formation energy (no corrections) = 1103 meV/atom; total magnetization = 4.5 μB per formula unit
1.0
4.170 0.000 0.000
0.000 4.170 0.000
0.000 0.000 6.622
I Tl O Re
1 1 2 1
Cartesian
0.000 0.000 3.311
0.000 0.000 0.000
0.000 2.085 0.000
2.085 0.000 0.000
2.085 2.085 3.311

---

2.
Hf3AlN (PBE, optimized geometry); V = 16.83 Å³/atom; formation energy (no corrections) = -967 meV/atom; total magnetization = 0.0 μB per formula unit
1.0
3.310 0.000 0.000
-1.656 5.714 0.000
0.000 0.000 8.900
Hf N Al
6 2 2
Cartesian
-0.002 4.252 4.826
-0.001 0.485 6.675
1.656 1.461 0.376
-0.002 4.252 8.524
1.656 1.461 4.074
1.655 5.228 2.225
0.000 0.000 0.000
0.000 0.000 4.450
0.000 2.900 2.225
1.654 2.813 6.675

---

3.
CsNiCl (PBE, optimized geometry); energy above the lowest structure with this stoichiometry = 57 meV/atom; V = 30.40 Å³/atom; formation energy (no corrections) = -542 meV/atom; total magnetization = 0.0 μB per formula unit
1.0
-0.315 -2.674 -5.810
1.616 -6.373 1.625
-4.121 -0.892 0.628
Ni Cs Cl
2 2 2
Cartesian
-2.399 -9.409 -3.598
-0.341 -5.660 0.716
-0.684 -6.341 -2.620
-1.265 -2.504 -0.844
-3.503 -4.097 -3.413
-2.579 -5.690 0.449

---

4.
La2RhAu (PBE, optimized geometry); V = 28.11 Å³/atom; total magnetization = 0.0 μB per formula unit; calculated formation energy = -11.3 kcal/mol of atoms
1.0
5.867 -2.382 -0.421
5.867 2.382 -0.421
5.191 0.000 3.650
La Au Rh
2 1 1
Cartesian
12.982 0.000 2.155
16.242 0.000 2.696
2.981 0.000 0.495
10.105 0.000 1.677

---

5.
SrLa2Sb (PBE, optimized geometry); V = 36.48 Å³/atom; formation energy (no corrections) = -481 meV/atom; total magnetization = 0.0 μB per formula unit
1.0
-2.163 1.337 -6.588
-4.123 -2.183 -5.302
-4.958 2.672 -0.241
Sr La Sb
1 2 1
Cartesian
-8.433 1.370 -9.099
-6.230 -0.697 -11.399
-5.677 0.765 -6.557
-2.811 0.457 -3.033

---

Per-record D(E_F), states/eV/atom: 0.785 0.528 0.041 0.725 1.130
Per-record final energy, eV/atom: -4.1532 -9.3527 -3.3689 -5.6121 -4.3962